[1]
A plane-wave DFT calculation with GGA-PBE was carried out for a geometry-optimized Mg2ZnCl structure.

Lattice parameters (Å, degrees): 8.0909 8.0909 8.0909 24.53 24.53 24.53
Element x y z (fractional)
Mg 0.2478 0.2478 0.2478
Mg 0.7522 0.7522 0.7522
Zn 0.5000 0.5000 0.5000
Cl 0.0000 0.0000 0.0000

Values from the calculation:
Space-group type: R-3m, No. 166
Distance to the lowest polymorph of the same formula in eV/atom: 0.0219
Volume in Å³/f.u.: 80.3

[2]
A plane-wave DFT calculation with GGA-PBE was carried out for a geometry-optimized MgZnCl2 structure.

Lattice parameters (Å, degrees): 11.6588 11.6588 11.6588 17.89 17.89 17.89
Element x y z (fractional)
Mg 0.0000 0.0000 0.0000
Zn 0.5000 0.5000 0.5000
Cl 0.3738 0.3738 0.3738
Cl 0.6262 0.6262 0.6262

Values from the calculation:
Space-group type: R-3m, No. 166
Distance to the lowest polymorph of the same formula in eV/atom: 0.0000
Volume in Å³/f.u.: 130.5

[3]
A plane-wave DFT calculation with GGA-PBE was carried out for a geometry-optimized MgZnCl2 structure.

Lattice parameters (Å, degrees): 3.2243 3.2243 9.7584 90.00 90.00 90.00
Element x y z (fractional)
Mg 0.0000 0.0000 0.0000
Zn 0.0000 0.0000 0.5000
Cl 0.5000 0.5000 0.1541
Cl 0.5000 0.5000 0.8459

Values from the calculation:
Space-group type: P4/mmm, No. 123
Distance to the lowest polymorph of the same formula in eV/atom: 0.3161
Volume in Å³/f.u.: 101.5